Entry 1:
Computed, not measured: a geometry-optimized Al3ReH structure at the PBE level of DFT.

Computed properties:
total energy = -5.3260 eV per atom
symmetry = Pm-3m

a = 3.9384 Å, b = 3.9384 Å, c = 3.9384 Å
α = 90.00°, β = 90.00°, γ = 90.00°
Closest atoms and distances in Å follow each position.
Sites, in units of the cell vectors:
Al (0.0000, 0.0000, 0.5000)  2 H 1.97
Al (0.0000, 0.5000, 0.0000)  2 H 1.97
Al (0.5000, 0.0000, 0.0000)  2 H 1.97
Re (0.5000, 0.5000, 0.5000)  12 Al 2.78
H (0.0000, 0.0000, 0.0000)  6 Al 1.97

=====

Entry 2:
Computed, not measured: a geometry-optimized ErGaCo2C structure at the PBE level of DFT.

Computed properties:
total energy = -6.5965 eV per atom
calculated formation energy = -391 meV per atom
symmetry = Cmcm

a = 5.6151 Å, b = 5.6151 Å, c = 6.8873 Å
α = 90.00°, β = 90.00°, γ = 140.86°
Closest atoms and distances in Å follow each position.
Sites, in units of the cell vectors:
Er (0.0493, 0.9507, 0.7500)  4 C 2.60
Er (0.9507, 0.0493, 0.2500)  4 C 2.60
Ga (0.2302, 0.7698, 0.2500)  6 Co 2.41-2.42
Ga (0.7698, 0.2302, 0.7500)  6 Co 2.41-2.42
Co (0.3397, 0.6603, 0.5588)  1 C 1.74
Co (0.3397, 0.6603, 0.9412)  1 C 1.74
Co (0.6603, 0.3397, 0.0588)  1 C 1.74
Co (0.6603, 0.3397, 0.4412)  1 C 1.74
C (0.5000, 0.5000, 0.0000)  2 Co 1.74
C (0.5000, 0.5000, 0.5000)  2 Co 1.74

=====

Entry 3:
Computed, not measured: a geometry-optimized K3ReNi3S8 structure at the PBE level of DFT.

Computed properties:
formation energy (no corrections) = -0.498 eV per atom
total energy = -4.9053 eV per atom
symmetry = C2/m

a = 7.1040 Å, b = 7.1040 Å, c = 8.2135 Å
α = 115.66°, β = 115.66°, γ = 59.94°
Closest atoms and distances in Å follow each position.
Sites, in units of the cell vectors:
K (0.0000, 0.0000, 0.0000)  6 S 3.13-3.20
K (0.0000, 0.5000, 0.0000)  6 S 3.13-3.20
K (0.5000, 0.0000, 0.0000)  6 S 3.13-3.20
Re (0.0000, 0.0000, 0.5000)  6 S 2.39
Ni (0.0000, 0.5000, 0.5000)  6 S 2.33-2.36
Ni (0.5000, 0.0000, 0.5000)  6 S 2.33-2.36
Ni (0.5000, 0.5000, 0.5000)  6 S 2.33-2.36
S (0.2242, 0.7193, 0.6680)  2 Ni 2.36, 1 Re 2.39
S (0.2246, 0.2246, 0.6677)  2 Ni 2.36, 1 Re 2.39
S (0.2807, 0.7758, 0.3320)  2 Ni 2.36, 1 Re 2.39
S (0.2818, 0.2818, 0.3449)  3 Ni 2.33
S (0.7182, 0.7182, 0.6551)  3 Ni 2.33
S (0.7193, 0.2242, 0.6680)  2 Ni 2.36, 1 Re 2.39
S (0.7754, 0.7754, 0.3323)  2 Ni 2.36, 1 Re 2.39
S (0.7758, 0.2807, 0.3320)  2 Ni 2.36, 1 Re 2.39

=====

Entry 4:
Computed, not measured: a geometry-optimized CoIrRh structure at the PBE level of DFT.

Computed properties:
total energy = -7.7279 eV per atom
calculated formation energy = 45 meV per atom
symmetry = Pbcm

a = 8.0188 Å, b = 4.6408 Å, c = 4.3035 Å
α = 90.00°, β = 90.00°, γ = 90.00°
Closest atoms and distances in Å follow each position.
Sites, in units of the cell vectors:
Co (0.0777, 0.0871, 0.2500)  5 Ir 2.51-2.66, 6 Co 2.61-2.63, 1 Rh 2.66
Co (0.0777, 0.4129, 0.7500)  5 Ir 2.51-2.66, 6 Co 2.61-2.63, 1 Rh 2.66
Co (0.9223, 0.5871, 0.2500)  5 Ir 2.51-2.66, 6 Co 2.61-2.63, 1 Rh 2.66
Co (0.9223, 0.9129, 0.7500)  5 Ir 2.51-2.66, 6 Co 2.61-2.63, 1 Rh 2.66
Ir (0.2348, 0.5816, 0.2500)  5 Co 2.51-2.66, 2 Ir 2.66, 4 Rh 2.68-2.72
Ir (0.2348, 0.9184, 0.7500)  5 Co 2.51-2.66, 2 Ir 2.66, 4 Rh 2.68-2.72
Ir (0.7652, 0.0816, 0.2500)  5 Co 2.51-2.66, 2 Ir 2.66, 4 Rh 2.68-2.72
Ir (0.7652, 0.4184, 0.7500)  5 Co 2.51-2.66, 2 Ir 2.66, 4 Rh 2.68-2.72
Rh (0.4097, 0.0802, 0.2500)  1 Co 2.66, 6 Rh 2.67-2.74, 5 Ir 2.68-2.85
Rh (0.4097, 0.4198, 0.7500)  1 Co 2.66, 6 Rh 2.67-2.74, 5 Ir 2.68-2.85
Rh (0.5903, 0.5802, 0.2500)  1 Co 2.66, 6 Rh 2.67-2.74, 5 Ir 2.68-2.85
Rh (0.5903, 0.9198, 0.7500)  1 Co 2.66, 6 Rh 2.67-2.74, 5 Ir 2.68-2.85

=====

Entry 5:
Computed, not measured: a geometry-optimized Er8Ga3Te4As structure at the PBE level of DFT.

Computed properties:
formation energy (no corrections) = -1.034 eV per atom
total energy = -4.9587 eV per atom
symmetry = R-3m

a = 8.6489 Å, b = 8.6489 Å, c = 8.6489 Å
α = 57.39°, β = 57.39°, γ = 57.39°
Closest atoms and distances in Å follow each position.
Sites, in units of the cell vectors:
Er (0.2422, 0.7409, 0.7409)  1 As 2.88, 2 Ga 2.89, 3 Te 3.11-3.12
Er (0.2440, 0.2440, 0.2440)  3 Ga 2.92, 3 Te 3.08
Er (0.2591, 0.2591, 0.7578)  1 As 2.88, 2 Ga 2.89, 3 Te 3.11-3.12
Er (0.2591, 0.7578, 0.2591)  1 As 2.88, 2 Ga 2.89, 3 Te 3.11-3.12
Er (0.7409, 0.2422, 0.7409)  1 As 2.88, 2 Ga 2.89, 3 Te 3.11-3.12
Er (0.7409, 0.7409, 0.2422)  1 As 2.88, 2 Ga 2.89, 3 Te 3.11-3.12
Er (0.7560, 0.7560, 0.7560)  3 Ga 2.92, 3 Te 3.08
Er (0.7578, 0.2591, 0.2591)  1 As 2.88, 2 Ga 2.89, 3 Te 3.11-3.12
Ga (0.0000, 0.0000, 0.5000)  6 Er 2.89-2.92
Ga (0.0000, 0.5000, 0.0000)  6 Er 2.89-2.92
Ga (0.5000, 0.0000, 0.0000)  6 Er 2.89-2.92
Te (0.0000, 0.0000, 0.0000)  6 Er 3.12
Te (0.0000, 0.5000, 0.5000)  6 Er 3.08-3.11
Te (0.5000, 0.0000, 0.5000)  6 Er 3.08-3.11
Te (0.5000, 0.5000, 0.0000)  6 Er 3.08-3.11
As (0.5000, 0.5000, 0.5000)  6 Er 2.88

=====

Entry 6:
Computed, not measured: a geometry-optimized SrBe4As3O12 structure at the PBE level of DFT.

Computed properties:
formation energy (no corrections) = -1.856 eV per atom
total energy = -6.3577 eV per atom
symmetry = R32

a = 6.2272 Å, b = 6.2272 Å, c = 6.2272 Å
α = 105.24°, β = 105.24°, γ = 105.24°
Closest atoms and distances in Å follow each position.
Sites, in units of the cell vectors:
Sr (0.0000, 0.0000, 0.0000)  6 O 2.50
Be (0.0673, 0.5000, 0.9327)  3 O 1.53-1.59
Be (0.5000, 0.5000, 0.5000)  3 O 1.58
Be (0.5000, 0.9327, 0.0673)  3 O 1.53-1.59
Be (0.9327, 0.0673, 0.5000)  3 O 1.53-1.59
As (0.0000, 0.5562, 0.4438)  6 O 1.81-2.01
As (0.4438, 0.0000, 0.5562)  6 O 1.81-2.01
As (0.5562, 0.4438, 0.0000)  6 O 1.81-2.01
O (0.0242, 0.6252, 0.7524)  1 Be 1.53
O (0.0938, 0.9062, 0.5000)  1 Be 1.59
O (0.2476, 0.3748, 0.9758)  1 Be 1.53
O (0.3404, 0.6596, 0.5000)  1 Be 1.58
O (0.3748, 0.9758, 0.2476)  1 Be 1.53
O (0.5000, 0.0938, 0.9062)  1 Be 1.59
O (0.5000, 0.3404, 0.6596)  1 Be 1.58
O (0.6252, 0.7524, 0.0242)  1 Be 1.53
O (0.6596, 0.5000, 0.3404)  1 Be 1.58
O (0.7524, 0.0242, 0.6252)  1 Be 1.53
O (0.9062, 0.5000, 0.0938)  1 Be 1.59
O (0.9758, 0.2476, 0.3748)  1 Be 1.53

=====

Entry 7:
Computed, not measured: a geometry-optimized Zn2HSe2 structure at the PBE level of DFT.

Computed properties:
total energy = -2.3139 eV per atom
symmetry = P4/mbm

a = 6.9563 Å, b = 6.9563 Å, c = 3.7062 Å
α = 90.00°, β = 90.00°, γ = 90.00°
Closest atoms and distances in Å follow each position.
Sites, in units of the cell vectors:
Zn (0.1293, 0.3707, 0.0000)  2 Se 2.50, 1 Zn 2.54
Zn (0.3707, 0.8707, 0.0000)  2 Se 2.50, 1 Zn 2.54
Zn (0.6293, 0.1293, 0.0000)  2 Se 2.50, 1 Zn 2.54
Zn (0.8707, 0.6293, 0.0000)  2 Se 2.50, 1 Zn 2.54
H (0.0000, 0.0000, 0.5000)  4 Se 2.51
H (0.5000, 0.5000, 0.5000)  4 Se 2.51
Se (0.1998, 0.6998, 0.5000)  2 Zn 2.50, 2 H 2.51
Se (0.3002, 0.1998, 0.5000)  2 Zn 2.50, 2 H 2.51
Se (0.6998, 0.8002, 0.5000)  2 Zn 2.50, 2 H 2.51
Se (0.8002, 0.3002, 0.5000)  2 Zn 2.50, 2 H 2.51

=====

Entry 8:
Computed, not measured: a geometry-optimized Pm4Nd8Y structure at the PBE level of DFT.

Computed properties:
total energy = -4.7089 eV per atom
calculated formation energy = 184 meV per atom
symmetry = R-3m

a = 10.5158 Å, b = 10.5158 Å, c = 10.5158 Å
α = 41.42°, β = 41.42°, γ = 41.42°
Closest atoms and distances in Å follow each position.
Sites, in units of the cell vectors:
Pm (0.0000, 0.0000, 0.0000)  6 Nd 3.44, 6 Pm 3.72
Pm (0.0000, 0.5000, 0.5000)  6 Nd 3.65-4.07, 6 Pm 3.72
Pm (0.5000, 0.0000, 0.5000)  6 Nd 3.65-4.07, 6 Pm 3.72
Pm (0.5000, 0.5000, 0.0000)  6 Nd 3.65-4.07, 6 Pm 3.72
Nd (0.1987, 0.7517, 0.7517)  1 Y 3.07, 2 Nd 3.32
Nd (0.2132, 0.2132, 0.2132)  9 Nd 3.77-3.80, 3 Pm 4.07
Nd (0.2483, 0.2483, 0.8013)  1 Y 3.07, 2 Nd 3.32
Nd (0.2483, 0.8013, 0.2483)  1 Y 3.07, 2 Nd 3.32
Nd (0.7517, 0.1987, 0.7517)  1 Y 3.07, 2 Nd 3.32
Nd (0.7517, 0.7517, 0.1987)  1 Y 3.07, 2 Nd 3.32
Nd (0.7868, 0.7868, 0.7868)  9 Nd 3.77-3.80, 3 Pm 4.07
Nd (0.8013, 0.2483, 0.2483)  1 Y 3.07, 2 Nd 3.32
Y (0.5000, 0.5000, 0.5000)  6 Nd 3.07

=====

Entry 9:
Computed, not measured: a geometry-optimized PmEr5Al4 structure at the PBE level of DFT.

Computed properties:
total energy = -4.5666 eV per atom
calculated formation energy = -313 meV per atom
symmetry = P4/mmm

a = 3.5558 Å, b = 3.5558 Å, c = 19.5800 Å
α = 90.00°, β = 90.00°, γ = 90.00°
Closest atoms and distances in Å follow each position.
Sites, in units of the cell vectors:
Pm (0.0000, 0.0000, 0.0000)  4 Pm 3.56, 8 Er 3.61
Er (0.5000, 0.5000, 0.1323)  4 Al 3.09
Er (0.5000, 0.5000, 0.3169)  8 Al 3.09-3.10
Er (0.5000, 0.5000, 0.5000)  8 Al 3.09
Er (0.5000, 0.5000, 0.6831)  8 Al 3.09-3.10
Er (0.5000, 0.5000, 0.8677)  4 Al 3.09
Al (0.0000, 0.0000, 0.2244)  8 Er 3.09-3.10
Al (0.0000, 0.0000, 0.4082)  8 Er 3.09
Al (0.0000, 0.0000, 0.5918)  8 Er 3.09
Al (0.0000, 0.0000, 0.7756)  8 Er 3.09-3.10

=====

Entry 10:
Computed, not measured: a geometry-optimized Hf3Sc2Co2 structure at the PBE level of DFT.

Computed properties:
total energy = -8.3578 eV per atom
calculated formation energy = -253 meV per atom
symmetry = C2/m

a = 5.7643 Å, b = 5.7643 Å, c = 8.0949 Å
α = 113.70°, β = 113.70°, γ = 33.39°
Closest atoms and distances in Å follow each position.
Sites, in units of the cell vectors:
Hf (0.0000, 0.0000, 0.0000)  4 Co 2.61
Hf (0.1176, 0.1176, 0.4382)  3 Co 2.54-2.72
Hf (0.8824, 0.8824, 0.5618)  3 Co 2.54-2.72
Sc (0.3445, 0.3445, 0.1925)  2 Co 2.70
Sc (0.6555, 0.6555, 0.8075)  2 Co 2.70
Co (0.3337, 0.3337, 0.7644)  5 Hf 2.54-2.72, 2 Sc 2.70
Co (0.6663, 0.6663, 0.2356)  5 Hf 2.54-2.72, 2 Sc 2.70

=====

Which of these has the lowest total energy?
Hf3Sc2Co2